Run w
Entry from Alexandria: Li3CrB2O6 after structural relaxation (PBE with a Hubbard U). Values from VASP.

Properties
space-group type = No. 2

```
&SYSTEM
  ibrav = 0, nat = 24, ntyp = 4
/
ATOMIC_SPECIES
Li 6.94 Li.upf
Cr 52.00 Cr.upf
B 10.81 B.upf
O 16.00 O.upf
ATOMIC_POSITIONS angstrom
Li 0.7424 2.0153 3.3249
Li 1.3326 6.7546 5.6300
Li 1.6313 1.1389 0.9830
Li 4.0541 6.0176 6.3528
Li 4.3528 0.4019 1.7058
Li 4.9430 5.1412 4.0109
Cr 2.3425 3.7615 5.8458
Cr 3.3429 3.3950 1.4900
B 0.9908 3.8241 0.7643
B 2.0443 5.2980 3.1834
B 3.6411 1.8585 4.1524
B 4.6947 3.3324 6.5715
O 0.7265 2.9248 6.7586
O 1.1401 6.0107 2.4447
O 1.4257 3.0236 1.8065
O 1.6544 4.9598 4.4803
O 2.2449 5.4911 7.1891
O 2.3655 2.1586 4.6648
O 3.3199 4.9979 2.6710
O 3.4405 1.6654 0.1467
O 4.0311 2.1967 2.8555
O 4.2597 4.1329 5.5293
O 4.5453 1.1458 4.8911
O 4.9590 4.2317 0.5772
CELL_PARAMETERS angstrom
5.2552 0.0000 0.0000
0.2356 5.8198 0.0000
0.1947 1.3367 7.3358
```

Run x
Entry from Alexandria: Li3CrB2O6 after structural relaxation (PBE with a Hubbard U). Values from VASP.

Properties
space-group type = No. 14

```
&SYSTEM
  ibrav = 0, nat = 48, ntyp = 4
/
ATOMIC_SPECIES
Li 6.94 Li.upf
Cr 52.00 Cr.upf
B 10.81 B.upf
O 16.00 O.upf
ATOMIC_POSITIONS angstrom
Li -1.1246 1.3207 4.1905
Li -3.2752 1.6515 8.5119
Li 1.1508 3.0459 2.3145
Li -0.9999 5.8708 6.6358
Li 0.8436 4.4003 5.1213
Li 2.9943 4.5164 0.7999
Li 1.7407 1.4281 7.8428
Li 3.8914 1.5441 3.5214
Li 5.7349 0.0736 2.0069
Li 3.5842 2.8986 6.3283
Li 8.0103 4.2930 0.1308
Li 5.8596 4.6237 4.4522
Cr 1.2108 0.1309 2.3729
Cr -0.9399 2.8414 6.6942
Cr 5.6749 3.1031 1.9485
Cr 3.5243 5.8136 6.2699
B -3.0025 4.0627 7.1112
B -0.8518 4.8540 2.7899
B 3.6216 1.1770 0.5373
B 1.4709 1.7952 4.8587
B 3.2642 4.1492 3.7841
B 1.1135 4.7674 8.1055
B 5.5868 1.0904 5.8529
B 7.7375 1.8818 1.5315
O -2.1195 1.4010 5.8337
O 0.0312 1.5712 1.5123
O -2.1729 4.3144 6.0215
O -0.0222 4.6023 1.7001
O -2.3272 3.3636 8.1265
O -0.1765 5.5530 3.8051
O 2.4136 0.5121 0.7149
O 0.2629 2.4601 5.0363
O -0.2003 1.3903 7.8809
O 1.9503 1.5820 3.5595
O 0.3356 4.3865 7.0281
O 2.4863 4.5302 2.7067
O 2.2487 1.4143 5.9361
O 4.3994 1.5580 1.6147
O 2.7847 4.3625 5.0832
O 4.9354 4.5542 0.7619
O 4.4721 3.4843 3.6065
O 2.3214 5.4323 7.9279
O 4.9115 0.3914 4.8377
O 7.0622 2.5808 0.5163
O 4.7572 1.3421 6.9427
O 6.9079 1.6301 2.6213
O 4.7038 4.3732 7.1305
O 6.8545 4.5435 2.8091
CELL_PARAMETERS angstrom
9.0364 0.0000 0.0000
0.0000 5.9445 0.0000
-4.3014 0.0000 8.6428
```

Preferred: run x; penalty for the next structure: 26 meV/atom.